Entry 1:
A geometry-optimized TbNi2B2 structure, computed with PBE-GGA. Values from VASP.

The structure in Quantum ESPRESSO input format:
```
&SYSTEM
  ibrav = 0, nat = 10, ntyp = 3
/
ATOMIC_SPECIES
Tb 158.93 Tb.upf
Ni 58.69 Ni.upf
B 10.81 B.upf
CELL_PARAMETERS angstrom
4.209 -2.660 0.000
4.209 2.660 0.000
-4.120 0.000 5.475
ATOMIC_POSITIONS crystal
Tb 0.118 0.882 0.750
Tb 0.882 0.118 0.250
Ni 0.280 0.467 0.300
Ni 0.467 0.280 0.800
Ni 0.533 0.720 0.200
Ni 0.720 0.533 0.700
B 0.154 0.505 0.975
B 0.495 0.846 0.525
B 0.505 0.154 0.475
B 0.846 0.495 0.025
```

Output
ΔE_f: -0.554 eV/atom
E: -32.320 eV per formula unit
volume: 12.3 Å³ per atom

***

Entry 2:
A geometry-optimized Tc2NiB structure, computed with PBE-GGA. Values from VASP.

The structure in Quantum ESPRESSO input format:
```
&SYSTEM
  ibrav = 0, nat = 16, ntyp = 3
/
ATOMIC_SPECIES
Tc 98.00 Tc.upf
Ni 58.69 Ni.upf
B 10.81 B.upf
CELL_PARAMETERS angstrom
3.563 0.000 0.000
0.000 3.563 0.000
0.000 0.000 16.465
ATOMIC_POSITIONS crystal
Tc 0.220 0.250 0.125
Tc 0.250 0.720 0.375
Tc 0.250 0.780 0.875
Tc 0.280 0.250 0.625
Tc 0.720 0.750 0.625
Tc 0.750 0.220 0.875
Tc 0.750 0.280 0.375
Tc 0.780 0.750 0.125
Ni 0.000 0.000 0.500
Ni 0.000 0.500 0.750
Ni 0.500 0.000 0.250
Ni 0.500 0.500 0.000
B 0.000 0.000 0.000
B 0.000 0.500 0.250
B 0.500 0.000 0.750
B 0.500 0.500 0.500
```

Output
ΔE_f: 0.731 eV/atom
E: -30.266 eV per formula unit
volume: 13.1 Å³ per atom

***

Entry 3:
A geometry-optimized Tc2NiB structure, computed with PBE-GGA. Values from VASP.

The structure in Quantum ESPRESSO input format:
```
&SYSTEM
  ibrav = 0, nat = 12, ntyp = 3
/
ATOMIC_SPECIES
Tc 98.00 Tc.upf
Ni 58.69 Ni.upf
B 10.81 B.upf
CELL_PARAMETERS angstrom
2.812 0.000 0.000
-1.406 2.435 0.000
0.000 0.000 22.846
ATOMIC_POSITIONS crystal
Tc 0.000 0.000 0.107
Tc 0.000 0.000 0.893
Tc 0.333 0.667 0.560
Tc 0.333 0.667 0.773
Tc 0.667 0.333 0.227
Tc 0.667 0.333 0.440
Ni 0.000 0.000 0.000
Ni 0.333 0.667 0.667
Ni 0.667 0.333 0.333
B 0.000 0.000 0.500
B 0.333 0.667 0.167
B 0.667 0.333 0.833
```

Output
ΔE_f: 0.452 eV/atom
E: -31.383 eV per formula unit
volume: 13.0 Å³ per atom

***

Number 1: density of states at the Fermi level 0.46 states/eV/atom. Number 2: density of states at the Fermi level 0.70 states/eV/atom. Number 3: density of states at the Fermi level 1.72 states/eV/atom.